This record from Alexandria via LeMat-Bulk describes a relaxed RbPaCr2O8 crystal. The functional is GGA+U.

## Properties
V = 19.878 Å³ per atom
E = -7.461 eV per atom
DOS at the Fermi energy = 7.47 states/eV/cell
magnetic moment = 0.167 μB/atom

a = 5.8416 Å, b = 5.8416 Å, c = 8.0716 Å
α = 90.00°, β = 90.00°, γ = 120.00°
Each line ends with the local moment (μB).
Atoms (fractional coordinates):
Rb 0.0000 0.0000 0.5000  0.00
Pa 0.0000 0.0000 0.0000  0.14
Cr 0.3333 0.6667 0.7607  1.28
Cr 0.6667 0.3333 0.2393  1.28
O 0.1706 0.3412 0.8380  -0.07
O 0.1706 0.8294 0.8380  -0.07
O 0.6588 0.8294 0.8380  -0.07
O 0.3412 0.1706 0.1620  -0.07
O 0.6667 0.3333 0.4417  -0.13
O 0.3333 0.6667 0.5583  -0.13
O 0.8294 0.6588 0.1620  -0.07
O 0.8294 0.1706 0.1620  -0.07